Record 1
Here is a relaxed RbSiAu3 crystal from Alexandria. Energies are from PBE-GGA.

Geometry as extended XYZ:
```
20
Lattice="6.405 0.000 0.000 0.000 11.788 0.000 0.000 0.000 6.383" Properties=species:S:1:pos:R:3 pbc="T T T"
Rb 0.000 0.000 0.000
Rb 0.000 5.894 0.000
Rb 3.202 0.000 3.191
Rb 3.202 5.894 3.191
Si 1.423 2.947 1.323
Si 1.779 8.841 4.514
Si 4.626 2.947 1.869
Si 4.982 8.841 5.060
Au 0.094 1.409 2.935
Au 0.094 4.485 2.935
Au 1.023 2.947 5.250
Au 2.179 8.841 2.059
Au 3.109 7.302 6.126
Au 3.109 10.379 6.126
Au 3.296 1.409 0.256
Au 3.296 4.485 0.256
Au 4.226 2.947 4.324
Au 5.382 8.841 1.133
Au 6.311 7.302 3.448
Au 6.311 10.379 3.448
```

## Properties
D(E_F) = 6.8 states/eV/cell
energy above the most stable polymorph in this dataset = 136 kJ/mol of formula units
E_form (uncorrected) = 0.01 eV/atom
space group = Pnma



Record 2
Here is a relaxed AlV6N crystal from Alexandria. Energies are from PBE-GGA.

Geometry as extended XYZ:
```
8
Lattice="5.235 0.000 0.000 -2.606 4.555 0.000 -2.587 -1.520 4.507" Properties=species:S:1:pos:R:3 pbc="T T T"
Al 0.000 0.000 0.000
V -0.936 1.955 1.244
V -1.400 0.292 3.261
V -2.130 3.166 3.268
V 2.171 -0.131 1.238
V 1.441 2.743 1.246
V 0.977 1.080 3.262
N -2.597 1.517 2.253
```

## Properties
D(E_F) = 4.0 states/eV/cell
E_form (uncorrected) = -0.06 eV/atom
space group = P-1



Among the records above, which one has the highest D(E_F)?
RbSiAu3



Which of these has the highest E_form (uncorrected)?
RbSiAu3



Among the records above, which one has the lowest D(E_F)?
AlV6N



Among the records above, which one has the highest E_form (uncorrected)?
RbSiAu3